[1]
The following is a GGA-PBE calculation of a geometry-optimized Na5SmTl6 structure, from the Alexandria database.

Values from the calculation:
density of states at the Fermi level	4.9	states/eV per cell
space group	Cmmm (65)
DFT total energy	-2.272	eV per atom

Lattice parameters (Å, degrees): 8.3452 8.3452 8.0277 90.00 90.00 143.33
Closest atoms and distances in Å follow each position.
Element x y z (fractional)
Na (0.0000, 0.0000, 0.0000)  8 Tl 3.28-3.37
Na (0.3302, 0.6698, 0.0000)  8 Tl 3.30-3.34, 2 Na 3.65
Na (0.3329, 0.6671, 0.5000)  8 Tl 3.26-3.35
Na (0.6671, 0.3329, 0.5000)  8 Tl 3.26-3.35
Na (0.6698, 0.3302, 0.0000)  8 Tl 3.30-3.34, 2 Na 3.65
Sm (0.0000, 0.0000, 0.5000)  8 Tl 3.30-3.33
Tl (0.1680, 0.8320, 0.2569)  7 Na 3.26-3.37, 1 Sm 3.30
Tl (0.1680, 0.8320, 0.7431)  7 Na 3.26-3.37, 1 Sm 3.30
Tl (0.5000, 0.5000, 0.2449)  6 Na 3.28-3.35, 2 Sm 3.33
Tl (0.5000, 0.5000, 0.7551)  6 Na 3.28-3.35, 2 Sm 3.33
Tl (0.8320, 0.1680, 0.2569)  7 Na 3.26-3.37, 1 Sm 3.30
Tl (0.8320, 0.1680, 0.7431)  7 Na 3.26-3.37, 1 Sm 3.30

***

[2]
The following is a GGA-PBE calculation of a geometry-optimized Na2ErRhO4 structure, from the Alexandria database.

Values from the calculation:
space group	P2/m (10)
raw formation energy	-1.95	eV per atom

Lattice parameters (Å, degrees): 5.3874 3.2897 5.8867 90.00 109.05 90.00
Closest atoms and distances in Å follow each position.
Element x y z (fractional)
Na (0.0000, 0.0000, 0.0000)  6 O 2.43-2.52
Na (0.5000, 0.5000, 0.0000)  6 O 2.37-2.41
Er (0.0000, 0.5000, 0.5000)  6 O 2.24-2.26
Rh (0.5000, 0.0000, 0.5000)  6 O 2.14-2.16
O (0.2466, 0.0000, 0.7195)  1 Rh 2.16, 2 Er 2.24, 2 Na 2.41
O (0.2864, 0.5000, 0.2933)  2 Rh 2.14, 1 Er 2.26, 1 Na 2.37
O (0.7136, 0.5000, 0.7067)  2 Rh 2.14, 1 Er 2.26, 1 Na 2.37
O (0.7534, 0.0000, 0.2805)  1 Rh 2.16, 2 Er 2.24, 2 Na 2.41

***

[3]
The following is a GGA-PBE calculation of a geometry-optimized Pu4CuPdPt2 structure, from the Alexandria database.

Values from the calculation:
density of states at the Fermi level	46.0	states/eV per cell
space group	R-3m (166)
DFT total energy	-10.256	eV per atom

Lattice parameters (Å, degrees): 8.6925 8.6925 8.6925 32.96 32.96 32.96
Closest atoms and distances in Å follow each position.
Element x y z (fractional)
Pu (0.1243, 0.1243, 0.1243)  4 Pt 3.02-3.10, 3 Pd 3.03, 1 Cu 3.06
Pu (0.3737, 0.3737, 0.3737)  3 Cu 3.02, 4 Pt 3.04-3.05, 1 Pd 3.11
Pu (0.6263, 0.6263, 0.6263)  3 Cu 3.02, 4 Pt 3.04-3.05, 1 Pd 3.11
Pu (0.8757, 0.8757, 0.8757)  4 Pt 3.02-3.10, 3 Pd 3.03, 1 Cu 3.06
Cu (0.0000, 0.0000, 0.0000)  8 Pu 3.02-3.06
Pd (0.5000, 0.5000, 0.5000)  8 Pu 3.03-3.11
Pt (0.2499, 0.2499, 0.2499)  8 Pu 3.02-3.10
Pt (0.7501, 0.7501, 0.7501)  8 Pu 3.02-3.10

***

[4]
The following is a GGA-PBE calculation of a geometry-optimized CaPrTlIn structure, from the Alexandria database.

Values from the calculation:
density of states at the Fermi level	3.3	states/eV per cell
space group	F-43m (216)
energy relative to the lowest polymorph listed for this composition	4	meV/atom

Lattice parameters (Å, degrees): 5.5168 5.5168 5.5168 60.00 60.00 60.00
Closest atoms and distances in Å follow each position.
Element x y z (fractional)
Ca (0.0000, 0.0000, 0.0000)  4 Tl 3.38, 4 In 3.38
Pr (0.5000, 0.5000, 0.5000)  4 In 3.38, 4 Tl 3.38
Tl (0.2500, 0.2500, 0.2500)  4 Pr 3.38, 4 Ca 3.38
In (0.7500, 0.7500, 0.7500)  4 Pr 3.38, 4 Ca 3.38

***

[5]
The following is a GGA-PBE calculation of a geometry-optimized ScC3S structure, from the Alexandria database.

Values from the calculation:
density of states at the Fermi level	4.2	states/eV per cell
space group	Pm-3m (221)
raw formation energy	2.84	eV per atom
energy relative to the lowest polymorph listed for this composition	1107	meV/atom

Lattice parameters (Å, degrees): 4.3151 4.3151 4.3151 90.00 90.00 90.00
Closest atoms and distances in Å follow each position.
Element x y z (fractional)
Sc (0.0000, 0.0000, 0.0000)  6 C 2.16
C (0.0000, 0.0000, 0.5000)  2 Sc 2.16
C (0.0000, 0.5000, 0.0000)  2 Sc 2.16
C (0.5000, 0.0000, 0.0000)  2 Sc 2.16
S (0.5000, 0.5000, 0.5000)  12 C 3.05

***

[6]
The following is a GGA-PBE calculation of a geometry-optimized Cd12In5Hg2 structure, from the Alexandria database.

Values from the calculation:
density of states at the Fermi level	6.0	states/eV per cell
space group	C2/m (12)
DFT total energy	-1.293	eV per atom

Lattice parameters (Å, degrees): 8.7714 8.7714 6.5676 91.85 91.85 69.75
Closest atoms and distances in Å follow each position.
Element x y z (fractional)
Cd (0.0481, 0.0481, 0.2932)  7 Cd 3.10-3.44, 3 In 3.15-3.39, 2 Hg 3.15
Cd (0.0656, 0.5429, 0.7953)  4 Cd 3.02-3.17, 1 Hg 3.08, 4 In 3.16-3.35
Cd (0.1302, 0.6666, 0.3946)  5 Cd 3.02-3.26, 1 Hg 3.03, 3 In 3.13-3.30
Cd (0.3334, 0.8698, 0.6054)  5 Cd 3.02-3.26, 1 Hg 3.03, 3 In 3.13-3.30
Cd (0.3909, 0.3909, 0.0327)  2 Hg 3.05, 3 Cd 3.09-3.19, 3 In 3.22-3.39
Cd (0.4571, 0.9344, 0.2047)  4 Cd 3.02-3.17, 1 Hg 3.08, 4 In 3.16-3.35
Cd (0.5429, 0.0656, 0.7953)  4 Cd 3.02-3.17, 1 Hg 3.08, 4 In 3.16-3.35
Cd (0.6091, 0.6091, 0.9673)  2 Hg 3.05, 3 Cd 3.09-3.19, 3 In 3.22-3.39
Cd (0.6666, 0.1302, 0.3946)  5 Cd 3.02-3.26, 1 Hg 3.03, 3 In 3.13-3.30
Cd (0.8698, 0.3334, 0.6054)  5 Cd 3.02-3.26, 1 Hg 3.03, 3 In 3.13-3.30
Cd (0.9344, 0.4571, 0.2047)  4 Cd 3.02-3.17, 1 Hg 3.08, 4 In 3.16-3.35
Cd (0.9519, 0.9519, 0.7068)  7 Cd 3.10-3.44, 3 In 3.15-3.39, 2 Hg 3.15
In (0.1725, 0.1725, 0.9092)  9 Cd 3.15-3.39, 1 In 3.39
In (0.2682, 0.2682, 0.4452)  10 Cd 3.21-3.53, 2 In 3.34-3.39
In (0.5000, 0.5000, 0.5000)  6 Cd 3.13-3.39, 2 In 3.34
In (0.7318, 0.7318, 0.5548)  10 Cd 3.21-3.53, 2 In 3.34-3.39
In (0.8275, 0.8275, 0.0908)  9 Cd 3.15-3.39, 1 In 3.39
Hg (0.2412, 0.7588, 0.0000)  8 Cd 3.03-3.15
Hg (0.7588, 0.2412, 0.0000)  8 Cd 3.03-3.15

***

[7]
The following is a GGA-PBE calculation of a geometry-optimized Ca2CoPt structure, from the Alexandria database.

Values from the calculation:
density of states at the Fermi level	12.4	states/eV per cell
space group	I-42d (122)
DFT total energy	-4.190	eV per atom

Lattice parameters (Å, degrees): 6.1429 6.1429 6.1429 103.09 103.09 123.16
Closest atoms and distances in Å follow each position.
Element x y z (fractional)
Ca (0.1187, 0.6250, 0.9937)  2 Co 2.77, 2 Pt 2.83, 2 Ca 2.93
Ca (0.3750, 0.3687, 0.4937)  2 Co 2.77, 2 Pt 2.83, 2 Ca 2.93
Ca (0.6313, 0.1250, 0.0063)  2 Co 2.77, 2 Pt 2.83, 2 Ca 2.93
Ca (0.8750, 0.8813, 0.5063)  2 Co 2.77, 2 Pt 2.83, 2 Ca 2.93
Co (0.0000, 0.0000, 0.0000)  4 Ca 2.77, 2 Pt 2.92
Co (0.7500, 0.2500, 0.5000)  4 Ca 2.77, 2 Pt 2.92
Pt (0.2500, 0.7500, 0.5000)  4 Ca 2.83, 2 Co 2.92
Pt (0.5000, 0.5000, 0.0000)  4 Ca 2.83, 2 Co 2.92

***

[8]
The following is a GGA-PBE calculation of a geometry-optimized In2CuOs structure, from the Alexandria database.

Values from the calculation:
density of states at the Fermi level	3.0	states/eV per cell
space group	C2/m (12)
DFT total energy	-4.707	eV per atom

Lattice parameters (Å, degrees): 4.7321 4.7321 5.2673 101.26 101.26 37.98
Closest atoms and distances in Å follow each position.
Element x y z (fractional)
In (0.2482, 0.2482, 0.2483)  3 Os 2.80-2.83, 3 Cu 2.81-2.82, 6 In 3.04-3.08
In (0.7518, 0.7518, 0.7517)  3 Os 2.80-2.83, 3 Cu 2.81-2.82, 6 In 3.04-3.08
Cu (0.0000, 0.0000, 0.5000)  6 In 2.81-2.82, 4 Os 3.05, 2 Cu 3.08
Os (0.5000, 0.5000, 0.0000)  6 In 2.80-2.83, 4 Cu 3.05, 2 Os 3.08

***

[9]
The following is a GGA-PBE calculation of a geometry-optimized Fe2Pb structure, from the Alexandria database.

Values from the calculation:
density of states at the Fermi level	3.2	states/eV per cell
space group	Cmcm (63)
DFT total energy	-6.498	eV per atom

Lattice parameters (Å, degrees): 7.6060 7.6060 3.8931 90.00 90.00 150.48
Closest atoms and distances in Å follow each position.
Element x y z (fractional)
Fe (0.1512, 0.8488, 0.7500)  4 Fe 2.42-2.43
Fe (0.2497, 0.7503, 0.2500)  4 Fe 2.42-2.43
Fe (0.7503, 0.2497, 0.7500)  4 Fe 2.42-2.43
Fe (0.8488, 0.1512, 0.2500)  4 Fe 2.42-2.43
Pb (0.4010, 0.5990, 0.7500)  8 Fe 2.85-2.96
Pb (0.5990, 0.4010, 0.2500)  8 Fe 2.85-2.96

***

[10]
The following is a GGA-PBE calculation of a geometry-optimized LaDy7In2 structure, from the Alexandria database.

Values from the calculation:
density of states at the Fermi level	19.6	states/eV per cell
space group	Cmmm (65)
DFT total energy	-3.924	eV per atom

Lattice parameters (Å, degrees): 8.8369 8.8369 5.6193 90.00 90.00 117.87
Closest atoms and distances in Å follow each position.
Element x y z (fractional)
La (0.0000, 0.0000, 0.0000)  10 Dy 3.62-3.75
Dy (0.0570, 0.3037, 0.5000)  2 In 3.13-3.17, 2 Dy 3.29-3.46
Dy (0.2390, 0.7610, 0.0000)  2 In 2.97
Dy (0.3037, 0.0570, 0.5000)  2 In 3.13-3.17, 2 Dy 3.29-3.46
Dy (0.5000, 0.5000, 0.5000)  2 In 3.00
Dy (0.6963, 0.9430, 0.5000)  2 In 3.13-3.17, 2 Dy 3.29-3.46
Dy (0.7610, 0.2390, 0.0000)  2 In 2.97
Dy (0.9430, 0.6963, 0.5000)  2 In 3.13-3.17, 2 Dy 3.29-3.46
In (0.3021, 0.6979, 0.5000)  7 Dy 2.97-3.17
In (0.6979, 0.3021, 0.5000)  7 Dy 2.97-3.17

***

Repeat the second record exactly.
The following is a GGA-PBE calculation of a geometry-optimized Na2ErRhO4 structure, from the Alexandria database.

Values from the calculation:
space group	P2/m (10)
raw formation energy	-1.95	eV per atom

Lattice parameters (Å, degrees): 5.3874 3.2897 5.8867 90.00 109.05 90.00
Closest atoms and distances in Å follow each position.
Element x y z (fractional)
Na (0.0000, 0.0000, 0.0000)  6 O 2.43-2.52
Na (0.5000, 0.5000, 0.0000)  6 O 2.37-2.41
Er (0.0000, 0.5000, 0.5000)  6 O 2.24-2.26
Rh (0.5000, 0.0000, 0.5000)  6 O 2.14-2.16
O (0.2466, 0.0000, 0.7195)  1 Rh 2.16, 2 Er 2.24, 2 Na 2.41
O (0.2864, 0.5000, 0.2933)  2 Rh 2.14, 1 Er 2.26, 1 Na 2.37
O (0.7136, 0.5000, 0.7067)  2 Rh 2.14, 1 Er 2.26, 1 Na 2.37
O (0.7534, 0.0000, 0.2805)  1 Rh 2.16, 2 Er 2.24, 2 Na 2.41